BaLiMg2: relaxed, PBE.

abc: 3.752 4.909 7.173
angles: 90.00 104.90 90.00
Space group Pm (No. 6)
Symmetry-distinct sites (fractional):
Ba 0.000 0.000 0.000
Li 0.642 0.500 0.282
Mg 0.323 0.500 0.646
Mg 0.742 0.000 0.488

energy above the lowest structure with this stoichiometry	42.9	kJ/mol of formula units
formation enthalpy at 0 K	0.066	eV/atom



HfAgPtSe2: relaxed, PBE.

abc: 4.833 4.833 4.971
angles: 90.00 90.00 90.00
Space group P4/mmm (No. 123)
Symmetry-distinct sites (fractional):
Hf 0.000 0.000 0.000
Ag 0.500 0.500 0.500
Pt 0.500 0.500 0.000
Se 0.000 0.500 0.500

formation energy (no corrections)	0.685	eV/atom



CdRh3: relaxed, PBE.

abc: 5.547 7.937 2.797
angles: 90.00 90.00 90.00
Space group Cmmm (No. 65)
Symmetry-distinct sites (fractional):
Cd 0.000 0.000 0.000
Rh 0.000 0.500 0.000
Rh 0.250 0.250 0.500

formation enthalpy at 0 K	0.056	eV/atom



RbSr2CaV: relaxed, PBE.

abc: 6.889 6.889 6.761
angles: 90.00 90.00 90.00
Space group P4/mmm (No. 123)
Symmetry-distinct sites (fractional):
Rb 0.000 0.000 0.000
Sr 0.000 0.500 0.500
Ca 0.000 0.000 0.500
V 0.500 0.500 0.000

formation enthalpy at 0 K	1.357	eV/atom



BeVHg2N: relaxed, PBE.

abc: 5.307 5.307 3.038
angles: 90.00 90.00 90.00
Space group P4/mmm (No. 123)
Symmetry-distinct sites (fractional):
Be 0.000 0.000 0.000
V 0.500 0.500 0.500
Hg 0.000 0.500 0.000
N 0.000 0.000 0.500

formation energy (no corrections)	0.474	eV/atom



Sr2CaRuN4: relaxed, PBE.

abc: 7.773 7.021 5.450
angles: 90.00 90.00 90.00
Space group Pmn2_1 (No. 31)
Symmetry-distinct sites (fractional):
Sr 0.242 0.173 0.000
Ca 0.000 0.366 0.505
Ru 0.000 0.671 0.045
N 0.000 0.411 0.967
N 0.000 0.670 0.390
N 0.210 0.800 0.979

formation energy (no corrections)	-0.415	eV/atom